<i>
DFT (GGA-PBE) results for a relaxed TaMnNiPS crystal.

a = 6.042 Å, b = 3.846 Å, c = 6.699 Å
α = 90.00°, β = 104.03°, γ = 90.00°
Atoms (fractional coordinates):
Ta1 0.382 0.000 0.479
Ta2 0.382 0.500 0.979
Mn1 0.183 0.000 0.106
Mn2 0.183 0.500 0.606
Ni1 0.946 0.000 0.391
Ni2 0.946 0.500 0.891
P1 0.089 0.000 0.753
P2 0.089 0.500 0.253
S1 0.584 0.000 0.185
S2 0.584 0.500 0.685

Output
- DOS at the Fermi energy (states/eV/atom) = 0.500

<ii>
DFT (GGA-PBE) results for a relaxed TaMnNiPS crystal.

a = 3.507 Å, b = 3.622 Å, c = 10.680 Å
α = 90.00°, β = 90.00°, γ = 90.00°
Atoms (fractional coordinates):
Ta1 0.500 0.000 0.586
Ta2 0.500 0.500 0.086
Mn1 0.500 0.000 0.308
Mn2 0.500 0.500 0.808
Ni1 0.000 0.000 0.791
Ni2 0.000 0.500 0.291
P1 0.000 0.000 0.167
P2 0.000 0.500 0.667
S1 0.500 0.000 0.917
S2 0.500 0.500 0.417

Output
- DOS at the Fermi energy (states/eV/atom) = 0.689

<iii>
DFT (GGA-PBE) results for a relaxed TaMnNiPS crystal.

a = 3.596 Å, b = 3.596 Å, c = 6.068 Å
α = 90.00°, β = 90.00°, γ = 120.00°
Atoms (fractional coordinates):
Ta1 0.667 0.333 0.413
Mn1 0.000 0.000 0.082
Ni1 0.667 0.333 0.842
P1 0.333 0.667 0.165
S1 0.000 0.000 0.684

Output
- DOS at the Fermi energy (states/eV/atom) = 0.410

<iv>
DFT (GGA-PBE) results for a relaxed TaMnNiPS crystal.

a = 6.036 Å, b = 3.515 Å, c = 8.477 Å
α = 90.00°, β = 106.89°, γ = 90.00°
Atoms (fractional coordinates):
Ta1 0.881 0.000 0.395
Ta2 0.881 0.500 0.895
Mn1 0.491 0.000 0.894
Mn2 0.491 0.500 0.394
Ni1 0.657 0.000 0.652
Ni2 0.657 0.500 0.152
P1 0.862 0.000 0.103
P2 0.862 0.500 0.603
S1 0.294 0.000 0.479
S2 0.294 0.500 0.979

Output
- DOS at the Fermi energy (states/eV/atom) = 0.770

The structure with the most favorable energy is <i>; the runner-up is 1.3 kJ/mol of atoms above it.

<i>
DFT (GGA-PBE) results for a relaxed MnNiPSe crystal.

a = 3.280 Å, b = 3.279 Å, c = 6.413 Å
α = 104.95°, β = 90.00°, γ = 120.02°
Atoms (fractional coordinates):
Mn1 0.088 0.731 0.527
Ni1 0.947 0.450 0.110
P1 0.350 0.255 0.314
Se1 0.516 0.587 0.807

Output
- DOS at the Fermi energy (states/eV/atom) = 0.693

<ii>
DFT (GGA-PBE) results for a relaxed MnNiPSe crystal.

a = 6.591 Å, b = 3.377 Å, c = 5.880 Å
α = 90.00°, β = 107.34°, γ = 90.00°
Atoms (fractional coordinates):
Mn1 0.260 0.000 0.901
Mn2 0.260 0.500 0.401
Ni1 0.865 0.000 0.770
Ni2 0.865 0.500 0.270
P1 0.033 0.000 0.158
P2 0.033 0.500 0.658
Se1 0.495 0.000 0.647
Se2 0.495 0.500 0.147

Output
- DOS at the Fermi energy (states/eV/atom) = 0.624

The structure with the most favorable energy is <ii>; the runner-up is 11.0 kJ/mol of atoms above it.

<i>
DFT (GGA-PBE) results for a relaxed MnNiPSe crystal.

a = 6.129 Å, b = 3.133 Å, c = 7.263 Å
α = 90.00°, β = 120.42°, γ = 90.00°
Atoms (fractional coordinates):
Mn1 0.894 0.000 0.038
Mn2 0.894 0.500 0.538
Ni1 0.566 0.000 0.615
Ni2 0.566 0.500 0.115
P1 0.865 0.000 0.320
P2 0.865 0.500 0.820
Se1 0.329 0.000 0.224
Se2 0.329 0.500 0.724

Output
- DOS at the Fermi energy (states/eV/atom) = 0.573

<ii>
DFT (GGA-PBE) results for a relaxed MnNiPSe crystal.

a = 5.491 Å, b = 2.944 Å, c = 7.602 Å
α = 90.00°, β = 110.77°, γ = 90.00°
Atoms (fractional coordinates):
Mn1 0.328 0.000 0.545
Mn2 0.328 0.500 0.045
Ni1 0.847 0.000 0.558
Ni2 0.847 0.500 0.058
P1 0.011 0.000 0.886
P2 0.011 0.500 0.386
Se1 0.467 0.000 0.299
Se2 0.467 0.500 0.799

Output
- DOS at the Fermi energy (states/eV/atom) = 0.504

<iii>
DFT (GGA-PBE) results for a relaxed MnNiPSe crystal.

a = 3.022 Å, b = 3.931 Å, c = 5.209 Å
α = 84.01°, β = 80.54°, γ = 73.60°
Atoms (fractional coordinates):
Mn1 0.571 0.891 0.174
Ni1 0.884 0.369 0.818
P1 0.267 0.463 0.118
Se1 0.962 0.891 0.544

Output
- DOS at the Fermi energy (states/eV/atom) = 0.431

The structure with the most favorable energy is <i>; the runner-up is 0.8 kJ/mol of atoms above it.

<i>
DFT (GGA-PBE) results for a relaxed MnNiPSe crystal.

a = 2.834 Å, b = 3.283 Å, c = 12.004 Å
α = 90.00°, β = 90.00°, γ = 90.00°
Atoms (fractional coordinates):
Mn1 0.000 0.000 0.192
Mn2 0.000 0.500 0.692
Ni1 0.500 0.000 0.391
Ni2 0.500 0.500 0.891
P1 0.500 0.000 0.763
P2 0.500 0.500 0.263
Se1 0.500 0.000 0.033
Se2 0.500 0.500 0.533

Output
- DOS at the Fermi energy (states/eV/atom) = 0.493

<ii>
DFT (GGA-PBE) results for a relaxed MnNiPSe crystal.

a = 3.171 Å, b = 3.206 Å, c = 11.526 Å
α = 90.00°, β = 90.00°, γ = 90.00°
Atoms (fractional coordinates):
Mn1 0.000 0.000 0.638
Mn2 0.000 0.500 0.138
Ni1 0.500 0.000 0.453
Ni2 0.500 0.500 0.953
P1 0.000 0.000 0.993
P2 0.000 0.500 0.493
Se1 0.500 0.000 0.243
Se2 0.500 0.500 0.743

Output
- DOS at the Fermi energy (states/eV/atom) = 0.553

<iii>
DFT (GGA-PBE) results for a relaxed MnNiPSe crystal.

a = 3.630 Å, b = 3.631 Å, c = 5.586 Å
α = 90.01°, β = 90.01°, γ = 60.02°
Atoms (fractional coordinates):
Mn1 0.235 0.430 0.412
Ni1 0.901 0.096 0.084
P1 0.568 0.763 0.184
Se1 0.901 0.096 0.666

Output
- DOS at the Fermi energy (states/eV/atom) = 0.546

The structure with the most favorable energy is <iii>; the runner-up is 6.0 kJ/mol of atoms above it.

<i>
DFT (GGA-PBE) results for a relaxed MnNiPb crystal.

a = 4.366 Å, b = 4.366 Å, c = 3.142 Å
α = 90.00°, β = 90.00°, γ = 120.00°
Atoms (fractional coordinates):
Mn1 0.000 0.000 0.035
Ni1 0.333 0.667 0.377
Pb1 0.667 0.333 0.588

Output
- DOS at the Fermi energy (states/eV/atom) = 0.888

<ii>
DFT (GGA-PBE) results for a relaxed MnNiPb crystal.

a = 4.278 Å, b = 4.278 Å, c = 4.278 Å
α = 60.00°, β = 60.00°, γ = 60.00°
Atoms (fractional coordinates):
Mn1 0.500 0.500 0.500
Ni1 0.750 0.750 0.750
Pb1 0.000 0.000 0.000

Output
- DOS at the Fermi energy (states/eV/atom) = 0.968

The structure with the most favorable energy is <ii>; the runner-up is 15.7 kJ/mol of atoms above it.

<i>
DFT (GGA-PBE) results for a relaxed MnNiPb2 crystal.

a = 4.963 Å, b = 4.963 Å, c = 4.963 Å
α = 60.00°, β = 60.00°, γ = 60.00°
Atoms (fractional coordinates):
Mn1 0.500 0.500 0.500
Ni1 0.750 0.750 0.750
Pb1 0.000 0.000 0.000
Pb2 0.250 0.250 0.250

Output
- DOS at the Fermi energy (states/eV/atom) = 0.817

<ii>
DFT (GGA-PBE) results for a relaxed MnNiPb2 crystal.

a = 4.896 Å, b = 4.896 Å, c = 4.896 Å
α = 125.09°, β = 114.09°, γ = 90.98°
Atoms (fractional coordinates):
Mn1 0.750 0.250 0.500
Ni1 0.250 0.750 0.500
Pb1 0.007 0.007 0.000
Pb2 0.493 0.493 0.000

Output
- DOS at the Fermi energy (states/eV/atom) = 0.694

<iii>
DFT (GGA-PBE) results for a relaxed MnNiPb2 crystal.

a = 9.319 Å, b = 9.319 Å, c = 9.319 Å
α = 20.78°, β = 20.78°, γ = 20.78°
Atoms (fractional coordinates):
Mn1 0.481 0.481 0.481
Ni1 0.761 0.761 0.761
Pb1 0.022 0.022 0.022
Pb2 0.236 0.236 0.236

Output
- DOS at the Fermi energy (states/eV/atom) = 0.358

<iv>
DFT (GGA-PBE) results for a relaxed MnNiPb2 crystal.

a = 7.541 Å, b = 7.541 Å, c = 6.188 Å
α = 52.46°, β = 52.46°, γ = 90.00°
Atoms (fractional coordinates):
Pb1 0.656 0.125 0.250
Pb2 0.094 0.625 0.250
Pb3 0.375 0.344 0.750
Pb4 0.875 0.906 0.750
Ni1 0.000 0.000 0.000
Ni2 0.750 0.250 0.500
Mn1 0.500 0.500 0.000
Mn2 0.250 0.750 0.500

Output
- DOS at the Fermi energy (states/eV/atom) = 0.684

The structure with the most favorable energy is <iii>; the runner-up is 9.7 kJ/mol of atoms above it.